# PBE RbTe2MoN, relaxed
data_RbTe2MoN
_cell_length_a 5.7472
_cell_length_b 5.7472
_cell_length_c 3.8681
_cell_angle_alpha 90.00
_cell_angle_beta 90.00
_cell_angle_gamma 90.00
_symmetry_space_group_name_H-M 'P 4/m m m'
_symmetry_Int_Tables_number 123
_symmetry_space_group_name_Hall '-P 4 2'
loop_
_atom_site_label
_atom_site_type_symbol
_atom_site_fract_x
_atom_site_fract_y
_atom_site_fract_z
Rb1 Rb 0.0000 0.0000 0.0000
Te1 Te 0.0000 0.5000 0.5000
Mo1 Mo 0.5000 0.5000 0.5000
N1 N 0.5000 0.5000 0.0000
# ΔE_f (raw)	-0.03	eV per atom
# total moment	0.000	μB per atom
# final energy	-26.563	eV per cell
# DOS at the Fermi energy	0.91	states/eV per atom

# PBE PmEuNiPt, relaxed
data_PmEuNiPt
_cell_length_a 7.0799
_cell_length_b 7.0799
_cell_length_c 7.0799
_cell_angle_alpha 90.00
_cell_angle_beta 90.00
_cell_angle_gamma 90.00
_symmetry_space_group_name_H-M 'F -4 3 m'
_symmetry_Int_Tables_number 216
_symmetry_space_group_name_Hall 'F -4 2 3'
loop_
_atom_site_label
_atom_site_type_symbol
_atom_site_fract_x
_atom_site_fract_y
_atom_site_fract_z
Pm1 Pm 0.0000 0.0000 0.0000
Eu1 Eu 0.0000 0.0000 0.5000
Ni1 Ni 0.2500 0.2500 0.2500
Pt1 Pt 0.2500 0.2500 0.7500
# total moment	1.766	μB per atom
# final energy	-116.704	eV per cell
# DOS at the Fermi energy	2.04	states/eV per atom
# energy of formation from the pure elements	-2.3	eV/f.u.

# PBE BiSb3N, relaxed
data_BiSb3N
_cell_length_a 4.8845
_cell_length_b 4.8845
_cell_length_c 4.8845
_cell_angle_alpha 90.00
_cell_angle_beta 90.00
_cell_angle_gamma 90.00
_symmetry_space_group_name_H-M 'P m -3 m'
_symmetry_Int_Tables_number 221
_symmetry_space_group_name_Hall '-P 4 2 3'
loop_
_atom_site_label
_atom_site_type_symbol
_atom_site_fract_x
_atom_site_fract_y
_atom_site_fract_z
Bi1 Bi 0.0000 0.0000 0.0000
Sb1 Sb 0.0000 0.5000 0.5000
N1 N 0.5000 0.5000 0.5000
# ΔE_f (raw)	0.52	eV per atom
# total moment	0.000	μB per atom
# final energy	-21.986	eV per cell
# DOS at the Fermi energy	0.40	states/eV per atom

# PBE Rb2BeOsCl6, relaxed
data_Rb2BeOsCl6
_cell_length_a 6.5834
_cell_length_b 6.5834
_cell_length_c 10.9362
_cell_angle_alpha 90.00
_cell_angle_beta 90.00
_cell_angle_gamma 90.00
_symmetry_space_group_name_H-M 'I 4/m m m'
_symmetry_Int_Tables_number 139
_symmetry_space_group_name_Hall '-I 4 2'
loop_
_atom_site_label
_atom_site_type_symbol
_atom_site_fract_x
_atom_site_fract_y
_atom_site_fract_z
Rb1 Rb 0.0000 0.5000 0.2500
Be1 Be 0.0000 0.0000 0.0000
Os1 Os 0.0000 0.0000 0.5000
Cl1 Cl 0.0000 0.0000 0.2780
Cl2 Cl 0.2355 0.2355 0.0000
# ΔE_f (raw)	-0.91	eV per atom
# total moment	0.000	μB per atom
# final energy	-74.079	eV per cell
# DOS at the Fermi energy	0.84	states/eV per atom

# PBE Tb2ThZn9, relaxed
data_Tb2ThZn9
_cell_length_a 5.4656
_cell_length_b 5.4656
_cell_length_c 25.9995
_cell_angle_alpha 90.00
_cell_angle_beta 90.00
_cell_angle_gamma 120.00
_symmetry_space_group_name_H-M 'R -3 m'
_symmetry_Int_Tables_number 166
_symmetry_space_group_name_Hall '-R 3 2"'
loop_
_atom_site_label
_atom_site_type_symbol
_atom_site_fract_x
_atom_site_fract_y
_atom_site_fract_z
Tb1 Tb 0.0000 0.0000 0.1414
Th1 Th 0.0000 0.0000 0.0000
Zn1 Zn 0.0000 0.0000 0.3351
Zn2 Zn 0.0000 0.0000 0.5000
Zn3 Zn 0.0059 0.5030 0.9171
# total moment	0.000	μB per atom
# final energy	-95.030	eV per cell
# DOS at the Fermi energy	0.64	states/eV per atom
# energy of formation from the pure elements	-3.5	eV/f.u.

# PBE La3Nd5Y, relaxed
data_La3Nd5Y
_cell_length_a 12.1729
_cell_length_b 8.6742
_cell_length_c 13.3162
_cell_angle_alpha 90.00
_cell_angle_beta 104.77
_cell_angle_gamma 90.00
_symmetry_space_group_name_H-M 'C 1 2/m 1'
_symmetry_Int_Tables_number 12
loop_
_symmetry_equiv_pos_as_xyz
'x,y,z'
'-x,-y,-z'
'-x,y,-z'
'x,-y,z'
'x+1/2,y+1/2,z'
'-x+1/2,-y+1/2,-z'
'-x+1/2,y+1/2,-z'
'x+1/2,-y+1/2,z'
loop_
_atom_site_label
_atom_site_type_symbol
_atom_site_fract_x
_atom_site_fract_y
_atom_site_fract_z
La1 La 0.0000 0.0000 0.0000
La2 La 0.0000 0.0000 0.5000
La3 La 0.0630 0.5000 0.2102
La4 La 0.2254 0.5000 0.4507
Nd1 Nd 0.0000 0.3157 0.0000
Nd2 Nd 0.0751 0.5000 0.6172
Nd3 Nd 0.1606 0.1902 0.7791
Nd4 Nd 0.2349 0.5000 0.9573
Y1 Y 0.1247 0.0000 0.2669
# total moment	0.000	μB per atom
# final energy	-166.607	eV per cell
# DOS at the Fermi energy	1.67	states/eV per atom
# energy of formation from the pure elements	3.4	eV/f.u.

# PBE Pm2Mg3Ni2, relaxed
data_Pm2Mg3Ni2
_cell_length_a 10.3918
_cell_length_b 3.9736
_cell_length_c 7.4913
_cell_angle_alpha 90.00
_cell_angle_beta 96.67
_cell_angle_gamma 90.00
_symmetry_space_group_name_H-M 'C 1 2/m 1'
_symmetry_Int_Tables_number 12
loop_
_symmetry_equiv_pos_as_xyz
'x,y,z'
'-x,-y,-z'
'-x,y,-z'
'x,-y,z'
'x+1/2,y+1/2,z'
'-x+1/2,-y+1/2,-z'
'-x+1/2,y+1/2,-z'
'x+1/2,-y+1/2,z'
loop_
_atom_site_label
_atom_site_type_symbol
_atom_site_fract_x
_atom_site_fract_y
_atom_site_fract_z
Pm1 Pm 0.1251 0.0000 0.3609
Mg1 Mg 0.0000 0.5000 0.0000
Mg2 Mg 0.1810 0.0000 0.8561
Ni1 Ni 0.0811 0.5000 0.6383
# total moment	0.000	μB per atom
# final energy	-54.957	eV per cell
# DOS at the Fermi energy	0.68	states/eV per atom
# energy of formation from the pure elements	-1.6	eV/f.u.

# PBE LuFe4Rh, relaxed
data_LuFe4Rh
_cell_length_a 6.9773
_cell_length_b 6.9773
_cell_length_c 6.9773
_cell_angle_alpha 90.00
_cell_angle_beta 90.00
_cell_angle_gamma 90.00
_symmetry_space_group_name_H-M 'F -4 3 m'
_symmetry_Int_Tables_number 216
_symmetry_space_group_name_Hall 'F -4 2 3'
loop_
_atom_site_label
_atom_site_type_symbol
_atom_site_fract_x
_atom_site_fract_y
_atom_site_fract_z
Lu1 Lu 0.0000 0.0000 0.0000
Fe1 Fe 0.1248 0.1248 0.3752
Rh1 Rh 0.2500 0.2500 0.7500
# total moment	1.738	μB per atom
# final energy	-186.385	eV per cell
# DOS at the Fermi energy	0.87	states/eV per atom
# energy of formation from the pure elements	-0.9	eV/f.u.

# PBE ScSb3, relaxed
data_ScSb3
_cell_length_a 3.8458
_cell_length_b 3.9364
_cell_length_c 6.8039
_cell_angle_alpha 90.00
_cell_angle_beta 96.37
_cell_angle_gamma 90.00
_symmetry_space_group_name_H-M 'P 1 2/m 1'
_symmetry_Int_Tables_number 10
loop_
_symmetry_equiv_pos_as_xyz
'x,y,z'
'-x,-y,-z'
'-x,y,-z'
'x,-y,z'
loop_
_atom_site_label
_atom_site_type_symbol
_atom_site_fract_x
_atom_site_fract_y
_atom_site_fract_z
Sc1 Sc 0.0000 0.0000 0.0000
Sb1 Sb 0.0000 0.0000 0.5000
Sb2 Sb 0.4601 0.5000 0.7807
# ΔE_f (raw)	-0.27	eV per atom
# total moment	0.000	μB per atom
# final energy	-19.767	eV per cell
# DOS at the Fermi energy	0.71	states/eV per atom

# PBE Nd3Tm2Se6, relaxed
data_Nd3Tm2Se6
_cell_length_a 4.1451
_cell_length_b 4.1451
_cell_length_c 62.3049
_cell_angle_alpha 90.00
_cell_angle_beta 90.00
_cell_angle_gamma 120.00
_symmetry_space_group_name_H-M 'R -3 m'
_symmetry_Int_Tables_number 166
_symmetry_space_group_name_Hall '-R 3 2"'
loop_
_atom_site_label
_atom_site_type_symbol
_atom_site_fract_x
_atom_site_fract_y
_atom_site_fract_z
Nd1 Nd 0.0000 0.0000 0.0000
Nd2 Nd 0.0000 0.0000 0.2771
Tm1 Tm 0.0000 0.0000 0.4484
Se1 Se 0.0000 0.0000 0.0861
Se2 Se 0.0000 0.0000 0.1968
Se3 Se 0.0000 0.0000 0.3617
# ΔE_f (raw)	-1.81	eV per atom
# total moment	0.000	μB per atom
# final energy	-192.151	eV per cell
# DOS at the Fermi energy	0.42	states/eV per atom

# PBE Cu3ReBr, relaxed
data_Cu3ReBr
_cell_length_a 4.5627
_cell_length_b 4.5627
_cell_length_c 4.5627
_cell_angle_alpha 90.00
_cell_angle_beta 90.00
_cell_angle_gamma 90.00
_symmetry_space_group_name_H-M 'P m -3 m'
_symmetry_Int_Tables_number 221
_symmetry_space_group_name_Hall '-P 4 2 3'
loop_
_atom_site_label
_atom_site_type_symbol
_atom_site_fract_x
_atom_site_fract_y
_atom_site_fract_z
Cu1 Cu 0.0000 0.0000 0.5000
Re1 Re 0.5000 0.5000 0.5000
Br1 Br 0.0000 0.0000 0.0000
# ΔE_f (raw)	1.74	eV per atom
# total moment	0.669	μB per atom
# final energy	-17.693	eV per cell
# DOS at the Fermi energy	0.67	states/eV per atom

# PBE AcCuRuO6, relaxed
data_AcCuRuO6
_cell_length_a 5.1382
_cell_length_b 5.1443
_cell_length_c 5.2783
_cell_angle_alpha 93.07
_cell_angle_beta 93.16
_cell_angle_gamma 114.79
_symmetry_space_group_name_H-M 'P 1'
_symmetry_Int_Tables_number 1
loop_
_symmetry_equiv_pos_as_xyz
'x,y,z'
loop_
_atom_site_label
_atom_site_type_symbol
_atom_site_fract_x
_atom_site_fract_y
_atom_site_fract_z
Ac1 Ac 0.0000 0.0000 0.0000
Cu1 Cu 0.2982 0.7009 0.5002
Ru1 Ru 0.6447 0.3544 0.4998
O1 O 0.3315 0.4137 0.3006
O2 O 0.3434 0.0459 0.6755
O3 O 0.5859 0.6669 0.6998
O4 O 0.6015 0.0837 0.2449
O5 O 0.9163 0.3967 0.7541
O6 O 0.9529 0.6561 0.3243
# ΔE_f (raw)	-1.45	eV per atom
# total moment	0.219	μB per atom
# final energy	-60.240	eV per cell
# DOS at the Fermi energy	0.19	states/eV per atom

Please write out number 5 again, unchanged.
# PBE Tb2ThZn9, relaxed
data_Tb2ThZn9
_cell_length_a 5.4656
_cell_length_b 5.4656
_cell_length_c 25.9995
_cell_angle_alpha 90.00
_cell_angle_beta 90.00
_cell_angle_gamma 120.00
_symmetry_space_group_name_H-M 'R -3 m'
_symmetry_Int_Tables_number 166
_symmetry_space_group_name_Hall '-R 3 2"'
loop_
_atom_site_label
_atom_site_type_symbol
_atom_site_fract_x
_atom_site_fract_y
_atom_site_fract_z
Tb1 Tb 0.0000 0.0000 0.1414
Th1 Th 0.0000 0.0000 0.0000
Zn1 Zn 0.0000 0.0000 0.3351
Zn2 Zn 0.0000 0.0000 0.5000
Zn3 Zn 0.0059 0.5030 0.9171
# total moment	0.000	μB per atom
# final energy	-95.030	eV per cell
# DOS at the Fermi energy	0.64	states/eV per atom
# energy of formation from the pure elements	-3.5	eV/f.u.

Which value of DOS at the Fermi energy does entry 7 give?
0.68 states/eV per atom